Entry 1:
## PuTiHg2 (PBE)

Data for an optimized crystal structure of PuTiHg2.

a b c (Å): 10.147 10.147 10.147
angles (deg): 18.31 18.31 18.31
Element x y z (fractional)
Pu1 0.000 0.000 0.000
Ti1 0.500 0.500 0.500
Hg1 0.242 0.242 0.242
Hg2 0.758 0.758 0.758

## Properties
space-group type	R-3m
formation enthalpy at 0 K	0.106	eV/atom
distance to the lowest polymorph of the same formula	0.151	eV per atom

Entry 2:
## LiCd2Te (PBE)

Data for an optimized crystal structure of LiCd2Te.

a b c (Å): 4.033 4.033 6.051
angles (deg): 90.00 90.00 90.00
Element x y z (fractional)
Li1 0.000 0.000 0.000
Cd1 0.000 0.000 0.493
Cd2 0.500 0.500 0.679
Te1 0.500 0.500 0.159

## Properties
raw formation energy	-0.27	eV per atom
space-group type	P4mm

Entry 3:
## LiMg (PBE)

Data for an optimized crystal structure of LiMg.

a b c (Å): 3.426 3.426 3.426
angles (deg): 90.00 90.00 90.00
Element x y z (fractional)
Li1 0.000 0.000 0.000
Mg1 0.500 0.500 0.500

## Properties
space-group type	Pm-3m
formation enthalpy at 0 K	-0.061	eV/atom